CuAsOs2: optimized geometry, GGA-PBE.

The structure belongs to space group Cmm2 (No. 35); the cell edges are 2.753, 4.780 and 9.174 Å and the angles 90.00°, 90.00° and 90.00°. Symmetry generates all atoms from Cu at (0.000, 0.000, 0.000), As at (0.000, 0.500, 0.745), Os at (0.000, 0.000, 0.486) and Os at (0.000, 0.500, 0.245).

As for the crystal system: orthorhombic. Its formation energy is 0.5892 eV per atom.


CuAsOs2: optimized geometry, GGA-PBE.

The structure belongs to space group F-43m (No. 216); the cell edges are 6.157, 6.157 and 6.157 Å and the angles 90.00°, 90.00° and 90.00°. Symmetry generates all atoms from Cu at (0.000, 0.000, 0.000), As at (0.250, 0.250, 0.250), Os at (0.000, 0.000, 0.500) and Os at (0.250, 0.250, 0.750).

As for the crystal system: cubic. Its formation energy is 0.5948 eV per atom.


CuAsOs2: optimized geometry, GGA-PBE.

The structure belongs to space group Immm (No. 71); the cell edges are 2.898, 4.376 and 9.227 Å and the angles 90.00°, 90.00° and 90.00°. Symmetry generates all atoms from Cu at (0.000, 0.000, 0.000), As at (0.000, 0.000, 0.500) and Os at (0.000, 0.500, 0.213).

As for the crystal system: orthorhombic. Its formation energy is 0.4513 eV per atom.


Cu2AsOs: optimized geometry, GGA-PBE.

The structure belongs to space group Cmmm (No. 65); the cell edges are 4.907, 7.811 and 2.902 Å and the angles 90.00°, 90.00° and 90.00°. Symmetry generates all atoms from Cu at (0.250, 0.250, 0.000), As at (0.000, 0.000, 0.500) and Os at (0.000, 0.500, 0.500).

As for the crystal system: orthorhombic. Its formation energy is 0.3398 eV per atom.


CuAsOs2: optimized geometry, GGA-PBE.

The structure belongs to space group I-42d (No. 122); the cell edges are 3.740, 3.740 and 17.937 Å and the angles 90.00°, 90.00° and 90.00°. Symmetry generates all atoms from Cu at (0.000, 0.000, 0.000), As at (0.000, 0.000, 0.500) and Os at (0.217, 0.250, 0.125).

As for the crystal system: tetragonal. Its formation energy is 0.7188 eV per atom.


CuAs2Os: optimized geometry, GGA-PBE.

The structure belongs to space group P4/mmm (No. 123); the cell edges are 3.021, 3.021 and 6.781 Å and the angles 90.00°, 90.00° and 90.00°. Symmetry generates all atoms from Cu at (0.000, 0.000, 0.000), As at (0.500, 0.500, 0.263) and Os at (0.000, 0.000, 0.500).

As for the crystal system: tetragonal. Its formation energy is 0.2934 eV per atom. As for the distance to the lowest polymorph of the same formula: 117.1 meV/atom.